Entry 1:
Computed, not measured: a geometry-optimized La8Pt3I4F structure at the PBE level of DFT.

CIF file:
```
data_La8Pt3I4F
_chemical_formula_sum 'La8 Pt3 I4 F1'
_cell_length_a 8.501
_cell_length_b 9.516
_cell_length_c 8.507
_cell_angle_alpha 116.60
_cell_angle_beta 119.98
_cell_angle_gamma 90.00
_symmetry_space_group_name_H-M 'P 1'
_symmetry_Int_Tables_number 1
_symmetry_space_group_name_Hall 'P 1'
loop_
_atom_site_label
_atom_site_type_symbol
_atom_site_fract_x
_atom_site_fract_y
_atom_site_fract_z
La1 La 0.230 0.698 0.967
La2 La 0.231 0.698 0.462
La3 La 0.271 0.314 0.542
La4 La 0.737 0.698 0.967
La5 La 0.263 0.302 0.033
La6 La 0.729 0.686 0.458
La7 La 0.769 0.302 0.538
La8 La 0.770 0.302 0.033
Pt1 Pt 0.500 0.500 0.000
Pt2 Pt 0.500 0.500 0.500
Pt3 Pt 0.000 0.500 0.500
I1 I 0.500 0.000 0.000
I2 I 0.500 0.000 0.500
I3 I 0.000 0.000 0.000
I4 I 0.000 0.000 0.500
F1 F 0.000 0.500 0.000
```

Results
symmetry	C2/m, No. 12
calculated total energy	-86.41	eV/cell
ρ	7.23	Mg/m³

Entry 2:
Computed, not measured: a geometry-optimized CaZrTa2B structure at the PBE level of DFT.

CIF file:
```
data_CaZrTa2B
_chemical_formula_sum 'Ca1 Zr1 Ta2 B1'
_cell_length_a 5.038
_cell_length_b 4.684
_cell_length_c 5.038
_cell_angle_alpha 90.00
_cell_angle_beta 90.00
_cell_angle_gamma 90.00
_symmetry_space_group_name_H-M 'P 1'
_symmetry_Int_Tables_number 1
_symmetry_space_group_name_Hall 'P 1'
loop_
_atom_site_label
_atom_site_type_symbol
_atom_site_fract_x
_atom_site_fract_y
_atom_site_fract_z
Ca1 Ca 0.500 0.500 0.500
B1 B 0.000 0.500 0.000
Zr1 Zr 0.000 0.000 0.000
Ta1 Ta 0.000 0.000 0.500
Ta2 Ta 0.500 0.000 0.000
```

Results
symmetry	P4/mmm, No. 123
formation energy from the elements	1.646	eV per atom
ρ	7.04	Mg/m³

Entry 3:
Computed, not measured: a geometry-optimized NaAg3F8 structure at the PBE level of DFT.

CIF file:
```
data_NaAg3F8
_chemical_formula_sum 'Na1 Ag3 F8'
_cell_length_a 5.790
_cell_length_b 5.790
_cell_length_c 6.556
_cell_angle_alpha 90.00
_cell_angle_beta 90.00
_cell_angle_gamma 120.00
_symmetry_space_group_name_H-M 'P 1'
_symmetry_Int_Tables_number 1
_symmetry_space_group_name_Hall 'P 1'
loop_
_atom_site_label
_atom_site_type_symbol
_atom_site_fract_x
_atom_site_fract_y
_atom_site_fract_z
Na1 Na 0.000 0.000 0.500
Ag1 Ag 0.667 0.333 0.855
Ag2 Ag 0.333 0.667 0.145
Ag3 Ag 0.000 0.000 0.000
F1 F 0.733 0.062 0.177
F2 F 0.329 0.267 0.177
F3 F 0.938 0.671 0.177
F4 F 0.267 0.938 0.823
F5 F 0.671 0.733 0.823
F6 F 0.062 0.329 0.823
F7 F 0.667 0.333 0.548
F8 F 0.333 0.667 0.452
```

Results
symmetry	P-3, No. 147
calculated total energy	-38.77	eV/cell
ρ	4.35	Mg/m³

Entry 4:
Computed, not measured: a geometry-optimized Sr2AsPb structure at the PBE level of DFT.

CIF file:
```
data_Sr2AsPb
_chemical_formula_sum 'Sr4 As2 Pb2'
_cell_length_a 8.812
_cell_length_b 8.812
_cell_length_c 7.198
_cell_angle_alpha 52.25
_cell_angle_beta 52.25
_cell_angle_gamma 90.00
_symmetry_space_group_name_H-M 'P 1'
_symmetry_Int_Tables_number 1
_symmetry_space_group_name_Hall 'P 1'
loop_
_atom_site_label
_atom_site_type_symbol
_atom_site_fract_x
_atom_site_fract_y
_atom_site_fract_z
Pb1 Pb 0.000 0.000 0.000
Pb2 Pb 0.750 0.250 0.500
Sr1 Sr 0.584 0.125 0.250
Sr2 Sr 0.166 0.625 0.250
Sr3 Sr 0.375 0.416 0.750
Sr4 Sr 0.875 0.834 0.750
As1 As 0.500 0.500 0.000
As2 As 0.250 0.750 0.500
```

Results
symmetry	I-42d, No. 122
formation energy from the elements	-0.507	eV per atom
ρ	5.43	Mg/m³

Entry 5:
Computed, not measured: a geometry-optimized SmErScCd structure at the PBE level of DFT.

CIF file:
```
data_SmErScCd
_chemical_formula_sum 'Sm1 Er1 Sc1 Cd1'
_cell_length_a 5.359
_cell_length_b 5.359
_cell_length_c 5.359
_cell_angle_alpha 60.00
_cell_angle_beta 60.00
_cell_angle_gamma 60.00
_symmetry_space_group_name_H-M 'P 1'
_symmetry_Int_Tables_number 1
_symmetry_space_group_name_Hall 'P 1'
loop_
_atom_site_label
_atom_site_type_symbol
_atom_site_fract_x
_atom_site_fract_y
_atom_site_fract_z
Sc1 Sc 0.250 0.250 0.250
Cd1 Cd 0.750 0.750 0.750
Sm1 Sm 0.000 0.000 0.000
Er1 Er 0.500 0.500 0.500
```

Results
symmetry	F-43m, No. 216
formation energy from the elements	-0.045	eV per atom
ρ	7.25	Mg/m³

Entry 6:
Computed, not measured: a geometry-optimized PmPaGeBi structure at the PBE level of DFT.

CIF file:
```
data_PmPaGeBi
_chemical_formula_sum 'Pm1 Pa1 Ge1 Bi1'
_cell_length_a 5.316
_cell_length_b 5.316
_cell_length_c 5.316
_cell_angle_alpha 60.00
_cell_angle_beta 60.00
_cell_angle_gamma 60.00
_symmetry_space_group_name_H-M 'P 1'
_symmetry_Int_Tables_number 1
_symmetry_space_group_name_Hall 'P 1'
loop_
_atom_site_label
_atom_site_type_symbol
_atom_site_fract_x
_atom_site_fract_y
_atom_site_fract_z
Ge1 Ge 0.750 0.750 0.750
Pa1 Pa 0.500 0.500 0.500
Bi1 Bi 0.250 0.250 0.250
Pm1 Pm 0.000 0.000 0.000
```

Results
symmetry	F-43m, No. 216
formation energy from the elements	-0.298	eV per atom
ρ	10.28	Mg/m³

Entry 7:
Computed, not measured: a geometry-optimized LaSiAgP2 structure at the PBE level of DFT.

CIF file:
```
data_LaSiAgP2
_chemical_formula_sum 'La1 Si1 Ag1 P2'
_cell_length_a 5.471
_cell_length_b 5.571
_cell_length_c 5.471
_cell_angle_alpha 90.00
_cell_angle_beta 90.00
_cell_angle_gamma 90.00
_symmetry_space_group_name_H-M 'P 1'
_symmetry_Int_Tables_number 1
_symmetry_space_group_name_Hall 'P 1'
loop_
_atom_site_label
_atom_site_type_symbol
_atom_site_fract_x
_atom_site_fract_y
_atom_site_fract_z
P1 P 0.000 0.000 0.500
P2 P 0.500 0.000 0.000
Si1 Si 0.000 0.500 0.000
Ag1 Ag 0.500 0.500 0.500
La1 La 0.000 0.000 0.000
```

Results
symmetry	P4/mmm, No. 123
calculated total energy	-18.44	eV/cell
ρ	3.35	Mg/m³

Entry 8:
Computed, not measured: a geometry-optimized Au3C structure at the PBE level of DFT.

CIF file:
```
data_Au3C
_chemical_formula_sum 'Au6 C2'
_cell_length_a 7.319
_cell_length_b 7.319
_cell_length_c 2.949
_cell_angle_alpha 90.00
_cell_angle_beta 90.00
_cell_angle_gamma 120.00
_symmetry_space_group_name_H-M 'P 1'
_symmetry_Int_Tables_number 1
_symmetry_space_group_name_Hall 'P 1'
loop_
_atom_site_label
_atom_site_type_symbol
_atom_site_fract_x
_atom_site_fract_y
_atom_site_fract_z
Au1 Au 0.803 0.606 0.250
Au2 Au 0.394 0.197 0.250
Au3 Au 0.803 0.197 0.250
Au4 Au 0.197 0.394 0.750
Au5 Au 0.606 0.803 0.750
Au6 Au 0.197 0.803 0.750
C1 C 0.333 0.667 0.250
C2 C 0.667 0.333 0.750
```

Results
symmetry	P6_3/mmc, No. 194
formation energy from the elements	1.125	eV per atom
ρ	14.64	Mg/m³